A.
VASP calculation (PBE) on LiSb2MoI after structural relaxation.

Density of states at the Fermi level, states/eV per cell: 2.697
M_tot, μB/atom: 0.674

Cell and atoms, written as CIF:
```
data_LiSb2MoI
_chemical_formula_sum 'Li1 Sb2 Mo1 I1'
_cell_length_a 4.9197
_cell_length_b 4.9197
_cell_length_c 5.4352
_cell_angle_alpha 90.00
_cell_angle_beta 90.00
_cell_angle_gamma 90.00
_space_group_name_H-M_alt 'P 4/m m m'
_space_group_IT_number 123
_space_group_name_Hall '-P 4 2'
loop_
_atom_site_label
_atom_site_type_symbol
_atom_site_fract_x
_atom_site_fract_y
_atom_site_fract_z
Li1 Li 0.0000 0.0000 0.0000
Sb1 Sb 0.0000 0.5000 0.0000
Mo1 Mo 0.5000 0.5000 0.5000
I1 I 0.0000 0.0000 0.5000
```

B.
VASP calculation (PBE) on LiSb2MoI after structural relaxation.

Density of states at the Fermi level, states/eV per cell: 3.606
M_tot, μB/atom: 0.121

Cell and atoms, written as CIF:
```
data_LiSb2MoI
_chemical_formula_sum 'Li1 Sb2 Mo1 I1'
_cell_length_a 5.1609
_cell_length_b 5.1609
_cell_length_c 6.2350
_cell_angle_alpha 90.00
_cell_angle_beta 90.00
_cell_angle_gamma 90.00
_space_group_name_H-M_alt 'P 4/m m m'
_space_group_IT_number 123
_space_group_name_Hall '-P 4 2'
loop_
_atom_site_label
_atom_site_type_symbol
_atom_site_fract_x
_atom_site_fract_y
_atom_site_fract_z
Li1 Li 0.0000 0.0000 0.0000
Sb1 Sb 0.0000 0.5000 0.5000
Mo1 Mo 0.5000 0.5000 0.5000
I1 I 0.5000 0.5000 0.0000
```

It turns out B is the most stable, with the second structure 61.0 kJ/mol of atoms higher.